Record 1
! TmTaS4 GGA-PBE relaxed; values from VASP
&SYSTEM
  ibrav = 0, nat = 6, ntyp = 3
/
ATOMIC_SPECIES
Tm 168.93 Tm.upf
Ta 180.95 Ta.upf
S 32.06 S.upf
ATOMIC_POSITIONS angstrom
Tm 0.000 0.000 0.000
Ta 5.872 0.000 2.908
S 0.266 0.000 2.691
S 5.448 0.000 0.512
S 6.295 0.000 5.304
S 11.477 0.000 3.125
CELL_PARAMETERS angstrom
7.305 -1.825 0.000
7.305 1.825 0.000
-2.867 0.000 5.817
! Magnetization: 0.000 μB/atom
! Energy relative to the elements, uncorrected: -30.9 kcal/mol of atoms
! E: -6.811 eV per atom

Record 2
! UTaS2 GGA-PBE relaxed; values from VASP
&SYSTEM
  ibrav = 0, nat = 4, ntyp = 3
/
ATOMIC_SPECIES
U 238.03 U.upf
Ta 180.95 Ta.upf
S 32.06 S.upf
ATOMIC_POSITIONS angstrom
U 0.000 0.000 0.000
Ta 0.000 0.000 5.337
S 0.000 0.000 2.763
S 0.000 0.000 7.910
CELL_PARAMETERS angstrom
2.352 1.358 3.558
-2.352 1.358 3.558
0.000 -2.716 3.558
! Energy relative to the lowest polymorph listed for this composition: 0.0000 eV/atom
! Magnetization: 0.544 μB/atom
! Energy relative to the elements, uncorrected: -14.7 kcal/mol of atoms
! E: -8.486 eV per atom

Record 3
! UTaS2 GGA-PBE relaxed; values from VASP
&SYSTEM
  ibrav = 0, nat = 4, ntyp = 3
/
ATOMIC_SPECIES
U 238.03 U.upf
Ta 180.95 Ta.upf
S 32.06 S.upf
ATOMIC_POSITIONS angstrom
U 0.000 0.000 0.000
Ta 0.000 0.000 8.809
S 0.000 0.000 2.655
S 0.000 0.000 11.368
CELL_PARAMETERS angstrom
2.045 1.181 6.339
-2.045 1.181 6.339
0.000 -2.362 6.339
! Energy relative to the lowest polymorph listed for this composition: 0.1412 eV/atom
! Magnetization: 0.626 μB/atom
! Energy relative to the elements, uncorrected: -11.4 kcal/mol of atoms
! E: -8.345 eV per atom

Record 4
! U3TaS6 GGA-PBE relaxed; values from VASP
&SYSTEM
  ibrav = 0, nat = 20, ntyp = 3
/
ATOMIC_SPECIES
U 238.03 U.upf
Ta 180.95 Ta.upf
S 32.06 S.upf
ATOMIC_POSITIONS angstrom
U -0.657 0.966 1.790
U -0.299 2.899 5.477
U -0.111 0.966 10.984
U 7.096 2.899 0.306
U 7.285 0.966 5.813
U 7.642 2.899 9.500
Ta 1.318 2.899 8.631
Ta 5.668 0.966 2.660
S -2.590 2.899 6.952
S 1.466 0.966 0.029
S 0.802 2.899 3.038
S -0.910 2.899 9.336
S 1.072 0.966 6.876
S 4.558 2.899 1.574
S 2.427 0.966 9.716
S 5.914 2.899 4.415
S 7.896 0.966 1.954
S 6.184 0.966 8.253
S 5.520 2.899 11.262
S 9.576 0.966 4.338
CELL_PARAMETERS angstrom
11.314 0.000 0.000
0.000 3.866 0.000
-4.329 0.000 11.290
! Magnetization: 0.323 μB/atom
! Energy relative to the elements, uncorrected: -26.8 kcal/mol of atoms
! E: -8.208 eV per atom

Record 5
! U2TaS4 GGA-PBE relaxed; values from VASP
&SYSTEM
  ibrav = 0, nat = 14, ntyp = 3
/
ATOMIC_SPECIES
U 238.03 U.upf
Ta 180.95 Ta.upf
S 32.06 S.upf
ATOMIC_POSITIONS angstrom
U 1.749 4.781 7.404
U 1.749 4.781 11.628
U 1.749 -4.781 1.060
U 1.749 -4.781 5.284
Ta 1.749 1.980 9.516
Ta 1.749 -1.980 3.172
S 1.749 6.457 3.172
S 1.749 3.760 1.537
S 1.749 3.760 4.807
S 1.749 0.000 0.000
S 1.749 0.000 6.344
S 1.749 -3.760 7.881
S 1.749 -3.760 11.151
S 1.749 -6.457 9.516
CELL_PARAMETERS angstrom
1.749 -6.511 0.000
1.749 6.511 0.000
0.000 0.000 12.688
! Magnetization: 0.728 μB/atom
! Energy relative to the elements, uncorrected: -22.2 kcal/mol of atoms
! E: -8.238 eV per atom

Record 6
! UTa2S GGA-PBE relaxed; values from VASP
&SYSTEM
  ibrav = 0, nat = 4, ntyp = 3
/
ATOMIC_SPECIES
U 238.03 U.upf
Ta 180.95 Ta.upf
S 32.06 S.upf
ATOMIC_POSITIONS angstrom
U 0.000 0.000 0.000
Ta 0.000 0.000 2.869
Ta 0.000 0.000 25.651
S 0.000 0.000 14.260
CELL_PARAMETERS angstrom
1.506 0.870 9.507
-1.506 0.870 9.507
0.000 -1.739 9.507
! Magnetization: 0.417 μB/atom
! Energy relative to the elements, uncorrected: 5.4 kcal/mol of atoms
! E: -9.546 eV per atom